[1]
First-principles (PBE) data for a relaxed DyAlZn2 crystal, as listed in Alexandria via LeMat-Bulk.

a = 4.725 Å, b = 4.725 Å, c = 4.725 Å
α = 60.00°, β = 60.00°, γ = 60.00°
Fractional coordinates of all 4 atoms:
Dy1 0.000 0.000 0.000
Zn1 0.750 0.750 0.750
Al1 0.500 0.500 0.500
Zn2 0.250 0.250 0.250

Properties
ρ	7.1	g/cm3
excess energy over the best structure of this formula in the dataset	113	meV per atom
V	18.6	Å³/atom
DOS at the Fermi energy	2.18	states/eV/cell
space-group type	Fm-3m, No. 225
calculated total energy	-12.1	eV/cell
energy relative to the elements	-1.17	eV/f.u.


[2]
First-principles (PBE) data for a relaxed RbPuCdI6 crystal, as listed in Alexandria via LeMat-Bulk.

a = 7.996 Å, b = 7.996 Å, c = 16.112 Å
α = 90.00°, β = 90.00°, γ = 120.00°
Last column: magnetic moment on the atom in μB.
Fractional coordinates of all 18 atoms:
I1 0.993 0.624 0.359  -0.03
I2 0.007 0.376 0.641  -0.03
I3 0.376 0.369 0.359  -0.03
I4 0.631 0.624 0.141  -0.03
I5 0.369 0.376 0.859  -0.03
I6 0.369 0.993 0.641  -0.03
I7 0.376 0.007 0.141  -0.03
I8 0.624 0.631 0.641  -0.03
Rb1 0.000 0.000 0.000  0.00
Rb2 0.000 0.000 0.500  0.00
Pu1 0.333 0.667 0.250  5.13
I9 0.624 0.993 0.859  -0.03
Cd1 0.667 0.333 0.250  0.01
I10 0.993 0.369 0.141  -0.03
I11 0.007 0.631 0.859  -0.03
I12 0.631 0.007 0.359  -0.03
Pu2 0.667 0.333 0.750  5.13
Cd2 0.333 0.667 0.750  0.01

Properties
ρ	4.5	g/cm3
V	49.6	Å³/atom
DOS at the Fermi energy	26.14	states/eV/cell
space-group type	P-31c, No. 163
calculated total energy	-68.7	eV/cell
ΔE_f (raw)	-0.984	eV/atom


[3]
First-principles (PBE) data for a relaxed ErZr2 crystal, as listed in Alexandria via LeMat-Bulk.

a = 3.825 Å, b = 3.825 Å, c = 5.864 Å
α = 109.04°, β = 109.04°, γ = 90.00°
Fractional coordinates of all 3 atoms:
Zr1 0.313 0.313 0.625
Zr2 0.687 0.687 0.375
Er1 0.000 0.000 0.000

Properties
ρ	7.6	g/cm3
V	25.4	Å³/atom
DOS at the Fermi energy	5.32	states/eV/cell
space-group type	I4/mmm, No. 139
calculated total energy	-21.3	eV/cell
energy relative to the elements	0.38	eV/f.u.


[4]
First-principles (PBE) data for a relaxed KNaSb2P crystal, as listed in Alexandria via LeMat-Bulk.

a = 5.934 Å, b = 5.044 Å, c = 5.934 Å
α = 90.00°, β = 90.00°, γ = 90.00°
Fractional coordinates of all 5 atoms:
P1 0.500 0.500 0.500
Na1 0.000 0.500 0.000
Sb1 0.500 0.000 0.000
Sb2 0.000 0.000 0.500
K1 0.000 0.000 0.000

Properties
ρ	3.1	g/cm3
V	35.5	Å³/atom
DOS at the Fermi energy	5.05	states/eV/cell
space-group type	P4/mmm, No. 123
calculated total energy	-10.0	eV/cell
ΔE_f (raw)	1.224	eV/atom


[5]
First-principles (PBE) data for a relaxed TaSiCl2 crystal, as listed in Alexandria via LeMat-Bulk.

a = 2.969 Å, b = 2.969 Å, c = 10.494 Å
α = 90.00°, β = 90.00°, γ = 90.00°
Fractional coordinates of all 4 atoms:
Cl1 0.000 0.000 0.898
Ta1 0.500 0.500 0.750
Si1 0.500 0.500 0.250
Cl2 0.000 0.000 0.602

Properties
ρ	5.0	g/cm3
excess energy over the best structure of this formula in the dataset	671	meV per atom
V	23.1	Å³/atom
DOS at the Fermi energy	2.29	states/eV/cell
space-group type	P4/mmm, No. 123
calculated total energy	-20.2	eV/cell
ΔE_f (raw)	0.189	eV/atom


[6]
First-principles (PBE) data for a relaxed Pm6AlTc2 crystal, as listed in Alexandria via LeMat-Bulk.

a = 8.661 Å, b = 8.661 Å, c = 8.661 Å
α = 104.39°, β = 112.30°, γ = 111.84°
Fractional coordinates of all 18 atoms:
Pm1 0.198 0.245 0.443
Tc1 0.500 0.388 0.888
Pm2 0.312 0.642 0.330
Tc2 0.500 0.612 0.112
Al1 0.000 0.500 0.500
Pm3 0.688 0.019 0.330
Tc3 0.315 0.000 0.315
Pm4 0.312 0.981 0.670
Pm5 0.688 0.358 0.670
Pm6 0.909 0.723 0.186
Pm7 0.198 0.755 0.953
Pm8 0.802 0.755 0.557
Pm9 0.802 0.245 0.047
Pm10 0.091 0.277 0.814
Pm11 0.538 0.723 0.814
Al2 0.000 0.000 0.000
Tc4 0.685 0.000 0.685
Pm12 0.462 0.277 0.186

Properties
ρ	7.3	g/cm3
V	27.6	Å³/atom
DOS at the Fermi energy	16.20	states/eV/cell
space-group type	Immm, No. 71
calculated total energy	-107.5	eV/cell
energy relative to the elements	-0.76	eV/f.u.


[7]
First-principles (PBE) data for a relaxed Sr2LiSn2Rh5 crystal, as listed in Alexandria via LeMat-Bulk.

a = 3.415 Å, b = 10.726 Å, c = 10.726 Å
α = 90.00°, β = 90.00°, γ = 90.00°
Fractional coordinates of all 20 atoms:
Rh1 0.500 0.689 0.438
Sn1 0.000 0.634 0.866
Rh2 0.500 0.311 0.562
Rh3 0.500 0.562 0.689
Rh4 0.500 0.938 0.189
Sn2 0.000 0.366 0.134
Li1 0.000 0.500 0.500
Rh5 0.500 0.438 0.311
Rh6 0.500 0.189 0.062
Rh7 0.500 0.000 0.500
Sn3 0.000 0.866 0.366
Rh8 0.500 0.500 0.000
Sr1 0.000 0.832 0.668
Rh9 0.500 0.062 0.811
Li2 0.000 0.000 0.000
Sr2 0.000 0.332 0.832
Sr3 0.000 0.168 0.332
Sn4 0.000 0.134 0.634
Rh10 0.500 0.811 0.938
Sr4 0.000 0.668 0.168

Properties
ρ	7.9	g/cm3
V	19.6	Å³/atom
DOS at the Fermi energy	9.30	states/eV/cell
space-group type	P4/mbm, No. 127
calculated total energy	-104.8	eV/cell
energy relative to the elements	-2.34	eV/f.u.


[8]
First-principles (PBE) data for a relaxed Ac4DySe6 crystal, as listed in Alexandria via LeMat-Bulk.

a = 8.671 Å, b = 8.671 Å, c = 8.671 Å
α = 89.60°, β = 89.60°, γ = 90.40°
Fractional coordinates of all 22 atoms:
Se1 0.919 0.690 0.938
Dy1 0.500 0.500 0.500
Se2 0.810 0.581 0.562
Ac1 0.871 0.250 0.371
Se3 0.419 0.562 0.810
Se4 0.562 0.190 0.581
Se5 0.081 0.310 0.062
Ac2 0.371 0.129 0.250
Se6 0.062 0.919 0.310
Ac3 0.250 0.629 0.129
Se7 0.581 0.438 0.190
Se8 0.190 0.419 0.438
Se9 0.438 0.810 0.419
Dy2 0.000 0.000 0.000
Se10 0.310 0.938 0.919
Ac4 0.250 0.250 0.750
Ac5 0.750 0.371 0.871
Ac6 0.129 0.750 0.629
Se11 0.938 0.081 0.690
Ac7 0.750 0.750 0.250
Se12 0.690 0.062 0.081
Ac8 0.629 0.871 0.750

Properties
ρ	7.9	g/cm3
V	29.6	Å³/atom
DOS at the Fermi energy	10.42	states/eV/cell
space-group type	R-3c, No. 167
calculated total energy	-124.7	eV/cell
ΔE_f (raw)	-1.855	eV/atom


What did the first record say?
First-principles (PBE) data for a relaxed DyAlZn2 crystal, as listed in Alexandria via LeMat-Bulk.

a = 4.725 Å, b = 4.725 Å, c = 4.725 Å
α = 60.00°, β = 60.00°, γ = 60.00°
Fractional coordinates of all 4 atoms:
Dy1 0.000 0.000 0.000
Zn1 0.750 0.750 0.750
Al1 0.500 0.500 0.500
Zn2 0.250 0.250 0.250

Properties
ρ	7.1	g/cm3
excess energy over the best structure of this formula in the dataset	113	meV per atom
V	18.6	Å³/atom
DOS at the Fermi energy	2.18	states/eV/cell
space-group type	Fm-3m, No. 225
calculated total energy	-12.1	eV/cell
energy relative to the elements	-1.17	eV/f.u.


What is the formula in the third record?
ErZr2